Entry 1:
PBE BiSbIO2, optimized geometry; energy above the lowest structure with this stoichiometry = 0.0 kJ per mole of atoms; D(E_F) = 1.8 states/eV/f.u.; DFT total energy = -4.01 eV per atom
1.0
4.289 0.000 0.000
0.000 4.289 0.000
0.000 0.000 6.564
Bi Sb I O
1 1 1 2
Direct
0.000 0.000 0.000
0.500 0.500 0.500
0.500 0.500 0.000
0.000 0.500 0.500
0.500 0.000 0.500

Entry 2:
PBE Sc2BiIO8, optimized geometry; DFT total energy = -6.59 eV per atom
1.0
3.437 -3.470 0.000
3.437 3.470 0.000
0.000 0.000 6.732
Sc Bi I O
2 1 1 8
Direct
0.000 0.000 0.242
0.000 0.000 0.758
0.500 0.500 0.000
0.500 0.500 0.500
0.176 0.824 0.000
0.225 0.775 0.500
0.308 0.308 0.294
0.308 0.308 0.706
0.692 0.692 0.294
0.692 0.692 0.706
0.775 0.225 0.500
0.824 0.176 0.000

Entry 3:
PBE ScBiIO6, optimized geometry; D(E_F) = 4.7 states/eV/f.u.; DFT total energy = -6.01 eV per atom
1.0
5.463 0.000 0.000
-2.731 4.731 0.000
0.000 0.000 9.952
Sc Bi I O
2 2 2 12
Direct
0.333 0.667 0.250
0.667 0.333 0.750
0.000 0.000 0.000
0.000 0.000 0.500
0.333 0.667 0.750
0.667 0.333 0.250
0.016 0.368 0.639
0.016 0.648 0.861
0.352 0.368 0.861
0.352 0.984 0.639
0.368 0.016 0.139
0.368 0.352 0.361
0.632 0.648 0.639
0.632 0.984 0.861
0.648 0.016 0.361
0.648 0.632 0.139
0.984 0.352 0.139
0.984 0.632 0.361

Entry 4:
PBE BiSeIO4, optimized geometry; DFT total energy = -4.78 eV per atom
1.0
5.600 -3.675 0.000
5.600 3.675 0.000
-1.802 0.000 6.845
Bi Se I O
2 2 2 8
Direct
0.220 0.220 0.122
0.780 0.780 0.878
0.358 0.358 0.740
0.642 0.642 0.260
0.022 0.022 0.749
0.978 0.978 0.251
0.136 0.483 0.870
0.273 0.273 0.511
0.483 0.136 0.870
0.493 0.493 0.236
0.507 0.507 0.764
0.517 0.864 0.130
0.727 0.727 0.489
0.864 0.517 0.130

What did the third record say?
PBE ScBiIO6, optimized geometry; D(E_F) = 4.7 states/eV/f.u.; DFT total energy = -6.01 eV per atom
1.0
5.463 0.000 0.000
-2.731 4.731 0.000
0.000 0.000 9.952
Sc Bi I O
2 2 2 12
Direct
0.333 0.667 0.250
0.667 0.333 0.750
0.000 0.000 0.000
0.000 0.000 0.500
0.333 0.667 0.750
0.667 0.333 0.250
0.016 0.368 0.639
0.016 0.648 0.861
0.352 0.368 0.861
0.352 0.984 0.639
0.368 0.016 0.139
0.368 0.352 0.361
0.632 0.648 0.639
0.632 0.984 0.861
0.648 0.016 0.361
0.648 0.632 0.139
0.984 0.352 0.139
0.984 0.632 0.361

Which of these has the lowest DFT total energy?
Sc2BiIO8